Li2TbLu after structural relaxation, computed with PBE-GGA. Values from VASP.

Geometry as Quantum ESPRESSO input:
```
&SYSTEM
  ibrav = 0, nat = 4, ntyp = 3
/
ATOMIC_SPECIES
Li 6.94 Li.upf
Lu 174.97 Lu.upf
Tb 158.93 Tb.upf
ATOMIC_POSITIONS crystal
Li 0.2500 0.2500 0.2500
Lu 0.5000 0.5000 0.5000
Li 0.7500 0.7500 0.7500
Tb 0.0000 0.0000 0.0000
CELL_PARAMETERS angstrom
5.2029 0.0000 0.0000
2.6015 4.5059 0.0000
2.6015 1.5020 4.2482
```

Values from the calculation:
Total DFT energy (no corrections) = -3.0847 eV/atom
ΔH_f (0 K) = 0.1600 eV/atom
Space-group type = Fm-3m
Magnetization = 0.000 Bohr magnetons per cell
E above lowest polymorph = 0.0014 eV/atom



UAl2Au after structural relaxation, computed with PBE-GGA. Values from VASP.

Geometry as Quantum ESPRESSO input:
```
&SYSTEM
  ibrav = 0, nat = 4, ntyp = 3
/
ATOMIC_SPECIES
Al 26.98 Al.upf
U 238.03 U.upf
Au 196.97 Au.upf
ATOMIC_POSITIONS crystal
Al 0.0000 0.5000 0.0000
Al 0.0000 0.0000 0.5000
U 0.5000 0.0000 0.0000
Au 0.5000 0.5000 0.5000
CELL_PARAMETERS angstrom
-3.5612 -2.3728 0.5235
2.3978 -3.2864 1.4157
-0.3801 1.4606 4.0344
```

Values from the calculation:
Total DFT energy (no corrections) = -5.5894 eV/atom
ΔH_f (0 K) = -0.0767 eV/atom
Space-group type = P4/mmm
Magnetization = 2.723 Bohr magnetons per cell



NbZnGa after structural relaxation, computed with PBE-GGA. Values from VASP.

Geometry as Quantum ESPRESSO input:
```
&SYSTEM
  ibrav = 0, nat = 3, ntyp = 3
/
ATOMIC_SPECIES
Zn 65.41 Zn.upf
Ga 69.72 Ga.upf
Nb 92.91 Nb.upf
ATOMIC_POSITIONS crystal
Zn 0.6202 0.6202 0.2404
Ga 0.2791 0.2791 0.5581
Nb 0.9507 0.9507 0.9014
CELL_PARAMETERS angstrom
-2.5463 -1.3758 -0.5817
1.4277 -1.9037 -1.7472
1.3946 -1.7621 5.5537
```

Values from the calculation:
Total DFT energy (no corrections) = -4.8351 eV/atom
ΔH_f (0 K) = -0.0449 eV/atom
Space-group type = I4mm
Magnetization = 0.000 Bohr magnetons per cell